{"formula": "CeMg2Sn4", "functional": "GGA-PBE", "state": "relaxed", "n_ef_per_ev_atom": 0.9018, "lattice_angstrom": [[4.488, 0.000, 0.000], [0.000, 6.461, -0.990], [0.000, 1.083, 6.446]], "species": ["Ce", "Sn", "Sn", "Sn", "Sn", "Mg", "Mg"], "frac_coords": [[0.500, 0.500, 0.500], [0.500, 0.500, 0.000], [0.000, 0.746, 0.746], [0.500, 0.000, 0.500], [0.000, 0.254, 0.254], [0.000, 0.206, 0.794], [0.000, 0.794, 0.206]]}

{"formula": "Tb3Sm6Y2Th", "functional": "GGA-PBE", "state": "relaxed", "n_ef_per_ev_atom": 1.3724, "lattice_angstrom": [[-1.981, 5.903, 0.230], [0.532, -2.889, -5.495], [-10.626, -4.768, 2.658]], "species": ["Y", "Y", "Tb", "Tb", "Tb", "Th", "Sm", "Sm", "Sm", "Sm", "Sm", "Sm"], "frac_coords": [[0.667, 0.333, 0.000], [0.333, 0.667, 0.000], [0.167, 0.833, 0.500], [0.833, 0.167, 0.500], [0.500, 0.500, 0.500], [0.000, 0.000, 0.000], [0.916, 0.587, 0.750], [0.246, 0.246, 0.750], [0.587, 0.916, 0.750], [0.754, 0.754, 0.250], [0.084, 0.413, 0.250], [0.413, 0.084, 0.250]]}

{"formula": "CsTlPb", "functional": "GGA-PBE", "state": "relaxed", "n_ef_per_ev_atom": 0.4658, "lattice_angstrom": [[-5.374, 6.158, -0.822], [-1.714, -0.902, 4.452], [2.906, 6.549, 2.446]], "species": ["Cs", "Cs", "Tl", "Tl", "Pb", "Pb"], "frac_coords": [[0.989, 0.000, 0.264], [0.356, 0.000, 0.551], [0.393, 0.500, 0.949], [0.966, 0.500, 0.787], [0.647, 0.500, 0.176], [0.676, 0.000, 0.879]]}

Number 1: formation energy -260.6 meV/atom. Number 2: formation energy 28.3 meV/atom. Number 3: formation energy -106.5 meV/atom.